# 1
PBE Sc2Nb4Sn3C3, optimized geometry; final energy = -8.28 eV per atom; SG = C2/c (15)
1.0
-1.997 -4.861 2.068
3.678 -0.059 -4.285
10.949 2.749 9.407
Nb C Sc Sn
8 6 4 6
direct
0.112 0.146 0.419 Nb
0.888 0.854 0.581 Nb
0.562 0.201 0.581 Nb
0.119 0.980 0.919 Nb
0.773 0.307 0.919 Nb
0.438 0.799 0.419 Nb
0.881 0.020 0.081 Nb
0.227 0.693 0.081 Nb
0.171 0.842 0.500 C
0.829 0.158 0.500 C
0.158 0.329 0.000 C
0.500 0.500 0.500 C
0.842 0.671 0.000 C
0.500 0.000 0.000 C
0.559 0.369 0.090 Sc
0.780 0.469 0.410 Sc
0.220 0.531 0.590 Sc
0.441 0.631 0.910 Sc
0.667 0.763 0.252 Sn
0.333 0.237 0.748 Sn
0.011 0.415 0.248 Sn
0.320 0.070 0.250 Sn
0.680 0.930 0.750 Sn
0.989 0.585 0.752 Sn

***

# 2
PBE DyBr3, optimized geometry; final energy = -4.24 eV per atom; SG = P4_2/mnm (136)
1.0
6.679 0.000 0.000
0.000 6.679 0.000
0.000 0.000 12.156
Dy Br
4 12
direct
0.500 0.500 0.330 Dy
0.500 0.500 0.670 Dy
0.000 0.000 0.830 Dy
0.000 0.000 0.170 Dy
0.297 0.703 0.163 Br
0.300 0.700 0.500 Br
0.797 0.797 0.337 Br
0.297 0.703 0.837 Br
0.800 0.800 0.000 Br
0.200 0.200 0.000 Br
0.203 0.203 0.663 Br
0.203 0.203 0.337 Br
0.700 0.300 0.500 Br
0.703 0.297 0.163 Br
0.797 0.797 0.663 Br
0.703 0.297 0.837 Br

***

# 3
PBE Tm4GaPC2, optimized geometry; final energy = -6.18 eV per atom; SG = P-6m2 (187)
1.0
3.591 0.000 0.000
-1.795 3.110 0.000
0.000 0.000 14.054
Ga Tm P C
1 4 1 2
direct
0.000 0.000 0.000 Ga
0.667 0.333 0.824 Tm
0.000 0.000 0.365 Tm
0.667 0.333 0.176 Tm
0.000 0.000 0.635 Tm
0.667 0.333 0.500 P
0.333 0.667 0.736 C
0.333 0.667 0.264 C

***

# 4
PBE PrAl5IrPd, optimized geometry; final energy = -5.42 eV per atom; SG = Imm2 (44)
1.0
-2.085 -2.906 5.420
3.126 3.540 4.458
-4.632 0.272 -4.543
Al Pr Ir Pd
5 1 1 1
direct
0.502 0.002 0.500 Al
0.531 0.345 0.187 Al
0.158 0.345 0.813 Al
0.843 0.651 0.193 Al
0.458 0.651 0.807 Al
0.002 0.002 0.000 Pr
0.262 0.762 0.500 Ir
0.744 0.244 0.500 Pd

***

# 5
PBE KU2F9, optimized geometry; polymorph energy (0 for the lowest one) = 155 meV/atom; SG = Pnma (62)
1.0
8.235 0.000 0.000
0.000 8.829 0.000
0.000 0.000 9.799
F U K
36 8 4
direct
0.135 0.612 0.657 F
0.382 0.070 0.763 F
0.928 0.619 0.962 F
0.865 0.388 0.343 F
0.072 0.119 0.038 F
0.635 0.888 0.843 F
0.072 0.381 0.038 F
0.865 0.112 0.343 F
0.882 0.070 0.737 F
0.572 0.381 0.462 F
0.118 0.570 0.263 F
0.135 0.888 0.657 F
0.382 0.430 0.763 F
0.365 0.388 0.157 F
0.782 0.608 0.533 F
0.618 0.570 0.237 F
0.218 0.392 0.467 F
0.861 0.750 0.227 F
0.361 0.750 0.273 F
0.572 0.119 0.462 F
0.428 0.881 0.538 F
0.282 0.608 0.967 F
0.928 0.881 0.962 F
0.365 0.112 0.157 F
0.782 0.892 0.533 F
0.639 0.250 0.727 F
0.718 0.108 0.033 F
0.118 0.930 0.263 F
0.718 0.392 0.033 F
0.218 0.108 0.467 F
0.428 0.619 0.538 F
0.282 0.892 0.967 F
0.635 0.612 0.843 F
0.618 0.930 0.237 F
0.139 0.250 0.773 F
0.882 0.430 0.737 F
0.619 0.494 0.662 U
0.619 0.006 0.662 U
0.881 0.994 0.162 U
0.381 0.506 0.338 U
0.119 0.006 0.838 U
0.381 0.994 0.338 U
0.881 0.506 0.162 U
0.119 0.494 0.838 U
0.525 0.750 0.040 K
0.475 0.250 0.960 K
0.025 0.750 0.460 K
0.975 0.250 0.540 K

***

# 6
PBE Mg3Ga3PdAu2, optimized geometry; final energy = -3.34 eV per atom; SG = P-62m (189)
1.0
-4.157 4.064 -4.595
-2.732 -6.231 2.936
-1.180 1.749 2.614
Ga Mg Au Pd
3 3 2 1
direct
0.272 0.000 0.500 Ga
0.728 0.728 0.500 Ga
0.000 0.272 0.500 Ga
0.385 0.385 0.000 Mg
0.615 0.000 0.000 Mg
0.000 0.615 0.000 Mg
0.333 0.667 0.500 Au
0.667 0.333 0.500 Au
0.000 0.000 0.000 Pd

***

# 7
PBE HoScPt, optimized geometry; polymorph energy (0 for the lowest one) = 792 meV/atom; SG = F-43m (216); calculated formation energy = -212 meV per atom
1.0
-0.340 -1.142 4.421
-3.734 1.158 2.383
-2.973 -3.228 1.309
Pt Sc Ho
1 1 1
direct
0.750 0.750 0.750 Pt
0.000 0.000 0.000 Sc
0.250 0.250 0.250 Ho

***

# 8
PBE HfCoCuSn, optimized geometry; polymorph energy (0 for the lowest one) = 348 meV/atom; SG = F-43m (216)
1.0
-4.285 -0.958 1.097
-3.397 2.257 -1.962
-2.685 -2.095 -2.981
Co Cu Hf Sn
1 1 1 1
direct
0.500 0.500 0.500 Co
0.750 0.750 0.750 Cu
0.250 0.250 0.250 Hf
0.000 0.000 0.000 Sn

***

# 9
PBE MgScGeIr, optimized geometry; polymorph energy (0 for the lowest one) = 43 meV/atom; SG = F-43m (216)
1.0
0.000 3.199 3.199
3.199 0.000 3.199
3.199 3.199 0.000
Ir Ge Sc Mg
1 1 1 1
direct
0.000 0.000 0.000 Ir
0.250 0.250 0.250 Ge
0.500 0.500 0.500 Sc
0.750 0.750 0.750 Mg

***

# 10
PBE SnGeIr2, optimized geometry; polymorph energy (0 for the lowest one) = 0 meV/atom; SG = P2_1/m (11)
1.0
5.663 0.000 0.000
0.000 3.854 0.000
-0.023 0.000 6.562
Sn Ir Ge
2 4 2
direct
0.225 0.750 0.422 Sn
0.775 0.250 0.578 Sn
0.504 0.750 0.764 Ir
0.004 0.750 0.802 Ir
0.996 0.250 0.198 Ir
0.496 0.250 0.236 Ir
0.273 0.250 0.901 Ge
0.727 0.750 0.099 Ge

***

# 11
PBE Zn3Se2F2, optimized geometry; final energy = -3.30 eV per atom; SG = I2_13 (199)
1.0
1.748 -3.351 5.765
4.535 5.056 -1.183
-6.304 2.692 0.728
F Zn Se
4 6 4
direct
0.000 0.513 0.500 F
0.500 0.000 0.513 F
0.987 0.987 0.987 F
0.513 0.500 0.000 F
0.750 0.854 0.104 Zn
0.104 0.750 0.854 Zn
0.250 0.646 0.396 Zn
0.396 0.250 0.646 Zn
0.646 0.396 0.250 Zn
0.854 0.104 0.750 Zn
0.959 0.500 0.000 Se
0.000 0.959 0.500 Se
0.500 0.000 0.959 Se
0.541 0.541 0.541 Se

***

# 12
PBE KNdSeO, optimized geometry; polymorph energy (0 for the lowest one) = 0 meV/atom; SG = P2_1 (4)
1.0
5.925 0.000 -0.737
0.000 5.965 0.000
-1.838 0.000 11.672
Se Nd O K
4 4 4 4
direct
0.382 0.128 0.294 Se
0.884 0.627 0.294 Se
0.618 0.628 0.706 Se
0.116 0.127 0.706 Se
0.551 0.350 0.097 Nd
0.449 0.850 0.903 Nd
0.051 0.849 0.097 Nd
0.949 0.349 0.903 Nd
0.250 0.598 0.000 O
0.250 0.097 0.000 O
0.750 0.098 0.000 O
0.750 0.597 0.000 O
0.058 0.625 0.601 K
0.444 0.627 0.399 K
0.556 0.127 0.601 K
0.942 0.125 0.399 K